No. 1
Compound: NpNiBiPd
Source: Alexandria via LeMat-Bulk
Functional: PBE
Structure: relaxed

Summary:
Fermi-level density of states   10.99 states/eV/cell
V   19.914 Å³ per atom
Calculated formation energy   -0.06 eV/atom

```
4
Lattice="4.830 0.000 0.000 2.415 4.183 0.000 2.415 1.394 3.943" Properties=species:S:1:pos:R:3 pbc="T T T"
Np 7.244 4.183 2.958
Ni 0.000 0.000 0.000
Bi 2.415 1.394 0.986
Pd 4.830 2.788 1.972
```

=====

No. 2
Compound: NpNiBiS4
Source: Alexandria via LeMat-Bulk
Functional: PBE
Structure: relaxed

Summary:
Fermi-level density of states   18.31 states/eV/cell
V   20.152 Å³ per atom
Uncorrected formation energy   -15.1 kcal/mol of atoms

```
14
Lattice="-0.186 3.668 -5.418 3.431 -3.680 -2.609 -5.990 -5.106 -0.674" Properties=species:S:1:pos:R:3 pbc="T T T"
Np -0.232 -2.283 -6.317
Np -2.514 -2.835 -2.384
Ni 0.460 -3.672 -3.448
Ni -3.206 -1.447 -5.252
Bi -3.271 -4.992 -6.491
Bi 0.525 -0.126 -2.209
S -2.663 -5.589 -1.896
S -1.729 2.238 -5.552
S -0.082 0.471 -6.805
S -1.016 -7.356 -3.149
S 1.714 -1.899 -4.300
S -4.460 -3.220 -4.400
S -1.179 -4.304 -4.711
S -1.567 -0.814 -3.989
```